Record 1
Material: La5DyHo3
Method: DFT, PBE
State: relaxed

The structure belongs to space group C2/c (No. 15); the cell edges are 15.8167, 8.8526 and 11.2528 Å and the angles 90.00°, 126.75° and 90.00°. The asymmetric unit holds La at (0.0000, 0.0409, 0.2500), La at (0.0720, 0.3237, 0.1109), La at (0.1682, 0.0523, 0.6503), Dy at (0.0000, 0.3652, 0.7500), Ho at (0.1852, 0.3827, 0.5083) and Ho at (0.2500, 0.2500, 0.0000).

The size of the total moment comes out at 0.0 μB/cell. The value obtained for the polymorph energy (0 for the lowest one) is 0.000 eV per atom. The calculation puts the electronic total energy at -166.6 eV per cell.

***

Record 2
Material: ZrAs2Pd2
Method: DFT, PBE
State: relaxed

The structure belongs to space group P4/mbm (No. 127); the cell edges are 7.4276, 7.4276 and 3.1556 Å and the angles 90.00°, 90.00° and 90.00°. The asymmetric unit holds Zr at (0.0000, 0.0000, 0.0000), As at (0.1567, 0.3433, 0.0000) and Pd at (0.1444, 0.6444, 0.5000).

The size of the total moment comes out at 0.0 μB/cell. The calculation puts the electronic total energy at -61.4 eV per cell.

***

Question: Look up the size of the total moment of the second one.
Answer: 0.0 μB/cell

***

Question: Which formula does entry 2 have?
Answer: ZrAs2Pd2